# 1
Entry from the Alexandria database: an optimized crystal structure of K4Ce3AgO8 (PBE-GGA).

Geometry as CIF:
```
data_K4Ce3AgO8
_chemical_formula_sum 'K12 Ce9 Ag3 O24'
_symmetry_space_group_name_H-M 'R -3 m'
_symmetry_Int_Tables_number 166
_symmetry_space_group_name_Hall '-R 3 2"'
_cell_length_a 7.1995
_cell_length_b 7.1995
_cell_length_c 18.7397
_cell_angle_alpha 90.00
_cell_angle_beta 90.00
_cell_angle_gamma 120.00
loop_
_atom_site_label
_atom_site_type_symbol
_atom_site_fract_x
_atom_site_fract_y
_atom_site_fract_z
K1 K 0.0000 0.0000 0.0000
K2 K 0.0000 0.5000 0.0000
Ce1 Ce 0.0000 0.5000 0.5000
Ag1 Ag 0.0000 0.0000 0.5000
O1 O 0.0000 0.0000 0.2308
O2 O 0.0365 0.5182 0.7698
```

Crystal system: trigonal
Fermi-level density of states, states/eV/f.u.: 8.16
E_tot, eV for the cell shown: -306.268

# 2
Entry from the Alexandria database: an optimized crystal structure of K3Ce3AgO8 (PBE-GGA).

Geometry as CIF:
```
data_K3Ce3AgO8
_chemical_formula_sum 'K9 Ce9 Ag3 O24'
_symmetry_space_group_name_H-M 'R -3 m'
_symmetry_Int_Tables_number 166
_symmetry_space_group_name_Hall '-R 3 2"'
_cell_length_a 7.1282
_cell_length_b 7.1282
_cell_length_c 18.6147
_cell_angle_alpha 90.00
_cell_angle_beta 90.00
_cell_angle_gamma 120.00
loop_
_atom_site_label
_atom_site_type_symbol
_atom_site_fract_x
_atom_site_fract_y
_atom_site_fract_z
K1 K 0.0000 0.5000 0.0000
Ce1 Ce 0.0000 0.5000 0.5000
Ag1 Ag 0.0000 0.0000 0.5000
O1 O 0.0000 0.0000 0.2311
O2 O 0.0344 0.5172 0.7740
```

Crystal system: trigonal
E_tot, eV for the cell shown: -299.159

# 3
Entry from the Alexandria database: an optimized crystal structure of KCe2Ag3S6 (PBE-GGA).

Geometry as CIF:
```
data_KCe2Ag3S6
_chemical_formula_sum 'K2 Ce4 Ag6 S12'
_symmetry_space_group_name_H-M 'C 1 2/m 1'
_symmetry_Int_Tables_number 12
_cell_length_a 15.767
_cell_length_b 4.206
_cell_length_c 9.165
_cell_angle_alpha 90.00
_cell_angle_beta 95.76
_cell_angle_gamma 90.00
loop_
_symmetry_equiv_pos_as_xyz
'x,y,z'
'-x,-y,-z'
'-x,y,-z'
'x,-y,z'
'x+1/2,y+1/2,z'
'-x+1/2,-y+1/2,-z'
'-x+1/2,y+1/2,-z'
'x+1/2,-y+1/2,z'
loop_
_atom_site_label
_atom_site_type_symbol
_atom_site_fract_x
_atom_site_fract_y
_atom_site_fract_z
K1 K 0.000 0.000 0.000
Ce1 Ce 0.165 0.500 0.335
Ag1 Ag 0.000 0.000 0.500
Ag2 Ag 0.158 0.500 0.744
S1 S 0.000 0.500 0.272
S2 S 0.165 0.000 0.541
S3 S 0.192 0.000 0.155
```

Crystal system: monoclinic
E_tot, eV for the cell shown: -117.754

no.,formation energy without anion corrections (eV per formula unit)
1,-37.38
2,-36.11
3,-12.59